# 1
The following is a SCAN calculation of Zr2ScPIr at its PBEsol-relaxed geometry, from Alexandria via LeMat-Bulk.

Cell: 4.8065 4.8065 4.4109 Å, 90.00 90.00 90.00°
Space group P4/mmm (No. 123)
Symmetry-distinct sites (fractional):
Zr (0.0000, 0.5000, 0.0000) (multiplicity 2)
Sc (0.0000, 0.0000, 0.5000) (multiplicity 1)
P (0.5000, 0.5000, 0.0000) (multiplicity 1)
Ir (0.5000, 0.5000, 0.5000) (multiplicity 1)

Output
**Energy of formation from the pure elements**: -0.382 eV per atom



# 2
The following is a SCAN calculation of TaSi2Ru at its PBEsol-relaxed geometry, from Alexandria via LeMat-Bulk.

Cell: 4.3353 4.3353 2.9336 Å, 90.00 90.00 90.00°
Space group P4/mmm (No. 123)
Symmetry-distinct sites (fractional):
Ta (0.0000, 0.0000, 0.0000) (multiplicity 1)
Si (0.0000, 0.5000, 0.5000) (multiplicity 2)
Ru (0.5000, 0.5000, 0.0000) (multiplicity 1)

Output
**Uncorrected formation energy**: -322 meV/atom



# 3
The following is a SCAN calculation of KSr3 at its PBEsol-relaxed geometry, from Alexandria via LeMat-Bulk.

Cell: 4.2416 6.9977 7.4613 Å, 90.00 90.00 90.00°
Space group Pmm2 (No. 25)
Symmetry-distinct sites (fractional):
K (0.0000, 0.0000, 0.0000) (multiplicity 1)
Sr (0.0000, 0.5000, 0.3376) (multiplicity 1)
Sr (0.5000, 0.0000, 0.4988) (multiplicity 1)
Sr (0.5000, 0.5000, 0.8243) (multiplicity 1)

Output
**Energy of formation from the pure elements**: 0.083 eV per atom
**Distance to the lowest polymorph of the same formula**: 0.13 eV per formula unit



# 4
The following is a SCAN calculation of KLaNi2 at its PBEsol-relaxed geometry, from Alexandria via LeMat-Bulk.

Cell: 4.0708 3.9757 12.9798 Å, 90.00 90.00 90.00°
Space group Amm2 (No. 38)
Symmetry-distinct sites (fractional):
K (0.0000, 0.0000, 0.0000) (multiplicity 2)
La (0.5000, 0.0000, 0.7345) (multiplicity 2)
Ni (0.0000, 0.0000, 0.2898) (multiplicity 2)
Ni (0.5000, 0.0000, 0.3711) (multiplicity 2)

Output
**Energy of formation from the pure elements**: 0.194 eV per atom
**Distance to the lowest polymorph of the same formula**: 0.00 eV per formula unit



Going through the records in order, we get DOS(E_F) values of 5.77; 2.24; 4.01; 4.80 states/eV/cell.